No. 1
Computed, not measured: a relaxed structure of CsRbTl2 at the PBE-GGA level of DFT.

abc: 6.3465 6.3465 4.6706
angles: 90.00 90.00 90.00
Last column: nearest neighbours and their distance in Å.
Positions (direct):
Cs1 0.0000 0.0000 0.0000  8 Tl 3.94
Rb1 0.5000 0.5000 0.0000  8 Tl 3.94
Tl1 0.0000 0.5000 0.5000  4 Rb 3.94, 4 Cs 3.94
Tl2 0.5000 0.0000 0.5000  4 Rb 3.94, 4 Cs 3.94

## Properties
* VASP energy: -1.56 eV/atom



No. 2
Computed, not measured: a relaxed structure of Pu2HgC at the PBE-GGA level of DFT.

abc: 4.0053 4.0053 16.9281
angles: 90.00 90.00 120.00
Last column: nearest neighbours and their distance in Å.
Positions (direct):
Pu1 0.0000 0.0000 0.1913  3 C 2.35, 3 Pu 2.46
Pu2 0.0000 0.0000 0.8087  3 C 2.35, 3 Pu 2.46
Pu3 0.3333 0.6667 0.4753  3 C 2.35, 3 Pu 2.46
Pu4 0.3333 0.6667 0.8580  3 C 2.35, 3 Pu 2.46
Pu5 0.6667 0.3333 0.1420  3 C 2.35, 3 Pu 2.46
Pu6 0.6667 0.3333 0.5247  3 C 2.35, 3 Pu 2.46
Hg1 0.0000 0.0000 0.0000  8 Pu 3.24-3.34
Hg2 0.3333 0.6667 0.6667  8 Pu 3.24-3.34
Hg3 0.6667 0.3333 0.3333  8 Pu 3.24-3.34
C1 0.0000 0.0000 0.5000  6 Pu 2.35
C2 0.3333 0.6667 0.1667  6 Pu 2.35
C3 0.6667 0.3333 0.8333  6 Pu 2.35

## Properties
* VASP energy: -9.22 eV/atom



No. 3
Computed, not measured: a relaxed structure of SmTm2Zn at the PBE-GGA level of DFT.

abc: 4.7225 4.7225 4.7400
angles: 90.00 90.00 90.00
Last column: nearest neighbours and their distance in Å.
Positions (direct):
Sm1 0.0000 0.0000 0.0000  4 Zn 3.34, 8 Tm 3.35
Tm1 0.0000 0.5000 0.5000  4 Tm 3.34, 4 Zn 3.35, 4 Sm 3.35
Tm2 0.5000 0.0000 0.5000  4 Tm 3.34, 4 Zn 3.35, 4 Sm 3.35
Zn1 0.5000 0.5000 0.0000  4 Sm 3.34, 8 Tm 3.35

## Properties
* VASP energy: -3.76 eV/atom



| no. | DFT formation energy (meV per atom) |
| --- | --- |
| 1 | 80.5 |
| 2 | 326.2 |
| 3 | -28.2 |